(1)
YTaHg: relaxed, PBE-GGA.

Cell: 6.790 6.790 6.790 Å, 90.00 90.00 90.00°
Element x y z (fractional)
Y 0.000 0.000 0.000
Y 0.000 0.500 0.500
Y 0.500 0.000 0.500
Y 0.500 0.500 0.000
Ta 0.000 0.000 0.500
Ta 0.000 0.500 0.000
Ta 0.500 0.000 0.000
Ta 0.500 0.500 0.500
Hg 0.250 0.250 0.250
Hg 0.250 0.750 0.750
Hg 0.750 0.250 0.750
Hg 0.750 0.750 0.250

## Properties
Relative energy among the computed polymorphs, meV/atom: 550.6
Size of the total moment, μB/f.u.: 0.01
Total energy, eV per atom: -5.500

***

(2)
BaSc4Os: relaxed, PBE-GGA.

Cell: 5.875 5.875 5.875 Å, 60.00 60.00 60.00°
Element x y z (fractional)
Ba 0.000 0.000 0.000
Sc 0.378 0.378 0.378
Sc 0.378 0.378 0.865
Sc 0.378 0.865 0.378
Sc 0.865 0.378 0.378
Os 0.750 0.750 0.750

## Properties
Size of the total moment, μB/f.u.: 0.00
Total energy, eV per atom: -5.674

***

(3)
NaTe4Pb5: relaxed, PBE-GGA.

Cell: 9.378 9.378 9.102 Å, 113.37 113.37 27.41°
Element x y z (fractional)
Na 0.000 0.000 0.000
Te 0.187 0.187 0.248
Te 0.442 0.442 0.205
Te 0.558 0.558 0.795
Te 0.813 0.813 0.752
Pb 0.000 0.000 0.500
Pb 0.197 0.197 0.829
Pb 0.356 0.356 0.547
Pb 0.644 0.644 0.453
Pb 0.803 0.803 0.171

## Properties
Size of the total moment, μB/f.u.: 0.00
Total energy, eV per atom: -3.571
Raw formation energy, eV/atom: -0.328

***

(4)
SrIr2I: relaxed, PBE-GGA.

Cell: 5.147 5.147 17.226 Å, 90.00 90.00 90.00°
Element x y z (fractional)
Sr 0.000 0.000 0.000
Sr 0.000 0.500 0.250
Sr 0.500 0.000 0.750
Sr 0.500 0.500 0.500
Ir 0.061 0.250 0.625
Ir 0.250 0.561 0.875
Ir 0.250 0.939 0.375
Ir 0.439 0.250 0.125
Ir 0.561 0.750 0.125
Ir 0.750 0.061 0.375
Ir 0.750 0.439 0.875
Ir 0.939 0.750 0.625
I 0.000 0.000 0.500
I 0.000 0.500 0.750
I 0.500 0.000 0.250
I 0.500 0.500 0.000

## Properties
Relative energy among the computed polymorphs, meV/atom: 0.0
Size of the total moment, μB/f.u.: 0.00
Total energy, eV per atom: -4.899
Raw formation energy, eV/atom: 0.340

***

(5)
MnCr2Ni: relaxed, PBE-GGA.

Cell: 3.584 3.584 6.948 Å, 90.00 90.00 90.00°
Element x y z (fractional)
Mn 0.000 0.000 0.000
Mn 0.500 0.500 0.500
Cr 0.000 0.500 0.250
Cr 0.000 0.500 0.750
Cr 0.500 0.000 0.250
Cr 0.500 0.000 0.750
Ni 0.000 0.000 0.500
Ni 0.500 0.500 0.000

## Properties
Size of the total moment, μB/f.u.: 0.00
Total energy, eV per atom: -8.470

***

(6)
ReNiBP2: relaxed, PBE-GGA.

Cell: 7.309 3.046 6.080 Å, 90.00 110.70 90.00°
Element x y z (fractional)
Re 0.000 0.000 0.000
Re 0.500 0.500 0.000
Ni 0.239 0.500 0.520
Ni 0.739 0.000 0.520
B 0.258 0.500 0.175
B 0.758 0.000 0.175
P 0.143 0.500 0.816
P 0.407 0.000 0.342
P 0.643 0.000 0.816
P 0.907 0.500 0.342

## Properties
Relative energy among the computed polymorphs, meV/atom: 227.9
Size of the total moment, μB/f.u.: 0.00
Total energy, eV per atom: -7.052

***

What did the first record say?
YTaHg: relaxed, PBE-GGA.

Cell: 6.790 6.790 6.790 Å, 90.00 90.00 90.00°
Element x y z (fractional)
Y 0.000 0.000 0.000
Y 0.000 0.500 0.500
Y 0.500 0.000 0.500
Y 0.500 0.500 0.000
Ta 0.000 0.000 0.500
Ta 0.000 0.500 0.000
Ta 0.500 0.000 0.000
Ta 0.500 0.500 0.500
Hg 0.250 0.250 0.250
Hg 0.250 0.750 0.750
Hg 0.750 0.250 0.750
Hg 0.750 0.750 0.250

## Properties
Relative energy among the computed polymorphs, meV/atom: 550.6
Size of the total moment, μB/f.u.: 0.01
Total energy, eV per atom: -5.500

***

What did the sixth record say?
ReNiBP2: relaxed, PBE-GGA.

Cell: 7.309 3.046 6.080 Å, 90.00 110.70 90.00°
Element x y z (fractional)
Re 0.000 0.000 0.000
Re 0.500 0.500 0.000
Ni 0.239 0.500 0.520
Ni 0.739 0.000 0.520
B 0.258 0.500 0.175
B 0.758 0.000 0.175
P 0.143 0.500 0.816
P 0.407 0.000 0.342
P 0.643 0.000 0.816
P 0.907 0.500 0.342

## Properties
Relative energy among the computed polymorphs, meV/atom: 227.9
Size of the total moment, μB/f.u.: 0.00
Total energy, eV per atom: -7.052

***

Which value of total energy does entry 3 give?
-3.571 eV per atom